Material: AlVI2O
Method: DFT, GGA+U
State: optimized geometry

Results
- E_tot: -21.6 eV per formula unit
- Magnetic moment: 1.990 μB per formula unit
- DOS at the Fermi energy: 1.26 states/eV per cell
- Energy above the lowest structure with this stoichiometry: 0.0000 eV per atom

abc: 5.839 5.839 3.749
angles: 90.00 90.00 90.00
Positions (direct):
Al1 0.000 0.000 0.000
V1 0.500 0.500 0.500
I1 0.000 0.500 0.500
I2 0.500 0.000 0.500
O1 0.500 0.500 0.000